A relaxed NdPuSe2N crystal. Source: the Alexandria database, functional GGA-PBE.

Computed properties:
- Magnetic moment: 3.8 μB per formula unit
- E_form (uncorrected): -1.5305 eV/atom

```
data_NdPuSe2N
_chemical_formula_sum 'Nd2 Pu2 Se4 N2'
_cell_length_a 3.981
_cell_length_b 3.981
_cell_length_c 14.951
_cell_angle_alpha 90.00
_cell_angle_beta 90.00
_cell_angle_gamma 90.00
_symmetry_space_group_name_H-M 'P 4/n m m'
_symmetry_Int_Tables_number 129
loop_
_symmetry_equiv_pos_as_xyz
'x,y,z'
'-x,-y,-z'
'-y+1/2,x,z'
'y+1/2,-x,-z'
'-x+1/2,-y+1/2,z'
'x+1/2,y+1/2,-z'
'y,-x+1/2,z'
'-y,x+1/2,-z'
'x+1/2,-y,-z'
'-x+1/2,y,z'
'-y,-x,-z'
'y,x,z'
'-x,y+1/2,-z'
'x,-y+1/2,z'
'y+1/2,x+1/2,-z'
'-y+1/2,-x+1/2,z'
loop_
_atom_site_label
_atom_site_type_symbol
_atom_site_fract_x
_atom_site_fract_y
_atom_site_fract_z
Nd1 Nd 0.250 0.250 0.135
Pu1 Pu 0.250 0.250 0.573
Se1 Se 0.250 0.250 0.321
Se2 Se 0.250 0.250 0.913
N1 N 0.250 0.750 0.500
```

A relaxed Ba3Sr2Ca6 crystal. Source: the Alexandria database, functional GGA-PBE.

Computed properties:
- Magnetic moment: 0.0 μB per formula unit
- Calculated formation energy: 215 meV per atom

```
data_Ba3Sr2Ca6
_chemical_formula_sum 'Ba6 Sr4 Ca12'
_cell_length_a 6.833
_cell_length_b 10.004
_cell_length_c 18.878
_cell_angle_alpha 90.00
_cell_angle_beta 100.38
_cell_angle_gamma 90.00
_symmetry_space_group_name_H-M 'C 1 2/m 1'
_symmetry_Int_Tables_number 12
_symmetry_space_group_name_Hall '-C 2y'
loop_
_atom_site_label
_atom_site_type_symbol
_atom_site_fract_x
_atom_site_fract_y
_atom_site_fract_z
Ba1 Ba 0.000 0.000 0.000
Ba2 Ba 0.166 0.500 0.329
Sr1 Sr 0.112 0.000 0.220
Ca1 Ca 0.057 0.329 0.110
Ca2 Ca 0.224 0.000 0.448
```

A relaxed RePPb2 crystal. Source: the Alexandria database, functional GGA-PBE.

Computed properties:
- Magnetic moment: 1.5 μB per formula unit
- Calculated formation energy: 1122 meV per atom

```
data_RePPb2
_chemical_formula_sum 'Re2 P2 Pb4'
_cell_length_a 4.418
_cell_length_b 4.418
_cell_length_c 8.838
_cell_angle_alpha 90.00
_cell_angle_beta 90.00
_cell_angle_gamma 90.00
_symmetry_space_group_name_H-M 'I 4/m m m'
_symmetry_Int_Tables_number 139
_symmetry_space_group_name_Hall '-I 4 2'
loop_
_atom_site_label
_atom_site_type_symbol
_atom_site_fract_x
_atom_site_fract_y
_atom_site_fract_z
Re1 Re 0.000 0.000 0.000
P1 P 0.000 0.000 0.500
Pb1 Pb 0.000 0.500 0.250
```

A relaxed In2AsPt8 crystal. Source: the Alexandria database, functional GGA-PBE.

Computed properties:
- Magnetic moment: 0.0 μB per formula unit
- Calculated formation energy: -363 meV per atom

```
data_In2AsPt8
_chemical_formula_sum 'In2 As1 Pt8'
_cell_length_a 4.048
_cell_length_b 4.048
_cell_length_c 11.253
_cell_angle_alpha 90.00
_cell_angle_beta 90.00
_cell_angle_gamma 90.00
_symmetry_space_group_name_H-M 'P 4/m m m'
_symmetry_Int_Tables_number 123
_symmetry_space_group_name_Hall '-P 4 2'
loop_
_atom_site_label
_atom_site_type_symbol
_atom_site_fract_x
_atom_site_fract_y
_atom_site_fract_z
In1 In 0.000 0.000 0.180
As1 As 0.500 0.500 0.500
Pt1 Pt 0.000 0.500 0.000
Pt2 Pt 0.000 0.500 0.363
Pt3 Pt 0.500 0.500 0.179
```

| no. | calculated volume (A^3/atom) | DOS(E_F) (states/eV/f.u.) |
| --- | --- | --- |
| 1 | 23.69 | 5.72 |
| 2 | 57.70 | 16.45 |
| 3 | 21.56 | 3.67 |
| 4 | 16.76 | 7.94 |